Crystalline LaAsPt2 at its relaxed geometry, computed with PBE.

```
LaAsPt2
1.0
-2.111 2.111 4.547
2.111 -2.111 4.547
2.111 2.111 -4.547
La As Pt
1 1 2
direct
0.000 0.000 0.000
0.500 0.500 0.000
0.250 0.750 0.500
0.750 0.250 0.500
```

## Properties
formation energy from the elements	-0.648	eV/atom
SG	I4/mmm, No. 139
total energy	-6.062	eV per atom

---

Crystalline LaAsPt2 at its relaxed geometry, computed with PBE.

```
LaAsPt2
1.0
-2.537 2.537 7.815
2.537 -2.537 7.815
2.537 2.537 -7.815
La As Pt
2 2 4
direct
0.000 0.000 0.000
0.750 0.250 0.500
0.250 0.750 0.500
0.500 0.500 0.000
0.239 0.625 0.114
0.375 0.489 0.614
0.511 0.125 0.886
0.875 0.761 0.386
```

## Properties
formation energy from the elements	-0.808	eV/atom
SG	I-42d, No. 122
total energy	-6.223	eV per atom

---

Q: Which spin magnetization values were calculated for the entries above? A: 0.0 0.0, in μB per formula unit.